[1]
{
  "formula": "Ca2IrN",
  "functional": "PBE-GGA",
  "state": "optimized geometry",
  "volume_a3_per_atom": 24.06,
  "total_magnetization_mub_per_fu": 0.00,
  "dft_energy_ev_per_atom": -5.85,
  "lattice": [[5.0463, 0.0000, 0.0000], [0.0000, 5.0463, 0.0000], [0.0000, 0.0000, 3.7789]],
  "species": ["Ca", "Ca", "Ir", "N"],
  "fractional_positions": [[0.0000, 0.5000, 0.0000], [0.5000, 0.0000, 0.0000], [0.0000, 0.0000, 0.5000], [0.0000, 0.0000, 0.0000]]
}


[2]
{
  "formula": "Ca2IrN",
  "functional": "PBE-GGA",
  "state": "optimized geometry",
  "volume_a3_per_atom": 23.41,
  "total_magnetization_mub_per_fu": 0.00,
  "dft_energy_ev_per_atom": -5.84,
  "lattice": [[-4.9647, 4.9647, 1.8995], [4.9647, -4.9647, 1.8995], [4.9647, 4.9647, -1.8995]],
  "species": ["Ca", "Ca", "Ca", "Ca", "Ir", "Ir", "N", "N"],
  "fractional_positions": [[0.3750, 0.1817, 0.3067], [0.8183, 0.1250, 0.1933], [0.8750, 0.0683, 0.6933], [0.9317, 0.6250, 0.8067], [0.2500, 0.7500, 0.5000], [0.5000, 0.5000, 0.0000], [0.0000, 0.0000, 0.0000], [0.7500, 0.2500, 0.5000]]
}